An optimized crystal structure of InHg2P. Source: Alexandria, functional PBE.

Calculated values
Space-group type   No. 122
E_tot   -1.917 eV/atom
Excess energy over the best structure of this formula in the dataset   18.2 kJ/mol of atoms

a = 6.828 Å, b = 6.828 Å, c = 10.157 Å
α = 90.00°, β = 90.00°, γ = 90.00°
Element x y z (fractional)
In (0.000, 0.000, 0.000)
In (0.000, 0.500, 0.250)
In (0.500, 0.000, 0.750)
In (0.500, 0.500, 0.500)
Hg (0.200, 0.250, 0.625)
Hg (0.250, 0.700, 0.875)
Hg (0.250, 0.800, 0.375)
Hg (0.300, 0.250, 0.125)
Hg (0.700, 0.750, 0.125)
Hg (0.750, 0.200, 0.375)
Hg (0.750, 0.300, 0.875)
Hg (0.800, 0.750, 0.625)
P (0.000, 0.000, 0.500)
P (0.000, 0.500, 0.750)
P (0.500, 0.000, 0.250)
P (0.500, 0.500, 0.000)

An optimized crystal structure of InHgPPd2. Source: Alexandria, functional PBE.

Calculated values
Space-group type   No. 123
E_tot   -2.718 eV/atom

a = 5.054 Å, b = 5.054 Å, c = 5.156 Å
α = 90.00°, β = 90.00°, γ = 90.00°
Element x y z (fractional)
In (0.000, 0.000, 0.000)
Hg (0.000, 0.000, 0.500)
P (0.500, 0.500, 0.000)
Pd (0.000, 0.500, 0.500)
Pd (0.500, 0.000, 0.500)

Number 1: calculated formation energy 26.2 kJ/mol of atoms. Number 2: calculated formation energy 101.2 kJ/mol of atoms.